No. 1
## TmMg7In4 (PBE-GGA)

Data for an optimized crystal structure of TmMg7In4.

## Properties
SG ... C2/m
Mass density ... 4.31 Mg/m³
Total magnetic moment ... 0.00 μB/f.u.
VASP energy ... -2.13 eV per atom
Calculated formation energy ... 0.08 eV/atom

a = 6.901 Å, b = 6.901 Å, c = 10.603 Å
α = 121.47°, β = 121.47°, γ = 47.97°
Positions (direct):
Tm  0.000  0.000  0.000
Mg  0.079  0.079  0.423
Mg  0.283  0.283  0.354
Mg  0.322  0.322  0.104
Mg  0.500  0.500  0.000
Mg  0.678  0.678  0.896
Mg  0.717  0.717  0.646
Mg  0.921  0.921  0.577
In  0.203  0.203  0.776
In  0.390  0.390  0.678
In  0.610  0.610  0.322
In  0.797  0.797  0.224

***

No. 2
## SrTlHgAs (PBE-GGA)

Data for an optimized crystal structure of SrTlHgAs.

## Properties
SG ... F-43m
Mass density ... 8.14 Mg/m³
Total magnetic moment ... 0.00 μB/f.u.
VASP energy ... -2.69 eV per atom
Calculated formation energy ... -0.44 eV/atom

a = 5.471 Å, b = 5.471 Å, c = 5.471 Å
α = 60.00°, β = 60.00°, γ = 60.00°
Positions (direct):
Sr  0.000  0.000  0.000
Tl  0.500  0.500  0.500
Hg  0.250  0.250  0.250
As  0.750  0.750  0.750

***

No. 3
## CaP2Pd (PBE-GGA)

Data for an optimized crystal structure of CaP2Pd.

## Properties
SG ... I-42d
Mass density ... 4.16 Mg/m³
Total magnetic moment ... 0.00 μB/f.u.
VASP energy ... -5.07 eV per atom
Calculated formation energy ... -0.57 eV/atom
Offset from the most stable computed form ... 0.1207 eV per atom

a = 8.840 Å, b = 8.840 Å, c = 8.840 Å
α = 150.57°, β = 150.57°, γ = 42.10°
Positions (direct):
Ca  0.000  0.000  0.000
Ca  0.750  0.250  0.500
P  0.268  0.625  0.143
P  0.375  0.518  0.643
P  0.482  0.125  0.857
P  0.875  0.732  0.357
Pd  0.250  0.750  0.500
Pd  0.500  0.500  0.000

***

No. 4
## LiFeGe (PBE-GGA)

Data for an optimized crystal structure of LiFeGe.

## Properties
SG ... Pmmn
Mass density ... 5.18 Mg/m³
Total magnetic moment ... 1.37 μB/f.u.
VASP energy ... -5.20 eV per atom
Calculated formation energy ... -0.20 eV/atom

a = 3.317 Å, b = 3.912 Å, c = 6.690 Å
α = 90.00°, β = 90.00°, γ = 90.00°
Positions (direct):
Li  0.250  0.250  0.147
Li  0.750  0.750  0.853
Fe  0.250  0.750  0.517
Fe  0.750  0.250  0.483
Ge  0.250  0.250  0.740
Ge  0.750  0.750  0.260

***

No. 5
## Ac2ZnCoH6 (PBE-GGA)

Data for an optimized crystal structure of Ac2ZnCoH6.

## Properties
SG ... C2/m
Mass density ... 8.17 Mg/m³
Total magnetic moment ... 0.00 μB/f.u.
VASP energy ... -3.97 eV per atom

a = 5.462 Å, b = 5.462 Å, c = 5.526 Å
α = 119.32°, β = 119.32°, γ = 90.25°
Positions (direct):
Ac  0.250  0.750  0.000
Ac  0.750  0.250  0.000
Zn  0.000  0.000  0.500
Co  0.500  0.500  0.500
H  0.286  0.286  0.497
H  0.289  0.711  0.500
H  0.294  0.294  0.088
H  0.706  0.706  0.912
H  0.711  0.289  0.500
H  0.714  0.714  0.503

***

No. 6
## YSi2W (PBE-GGA)

Data for an optimized crystal structure of YSi2W.

## Properties
SG ... Fm-3m
Mass density ... 7.92 Mg/m³
Total magnetic moment ... 0.00 μB/f.u.
VASP energy ... -7.54 eV per atom
Formation energy (no corrections) ... 0.0250 eV per atom
Offset from the most stable computed form ... 0.3714 eV per atom

a = 4.604 Å, b = 4.604 Å, c = 4.604 Å
α = 60.00°, β = 60.00°, γ = 60.00°
Positions (direct):
Y  0.000  0.000  0.000
Si  0.250  0.250  0.250
Si  0.750  0.750  0.750
W  0.500  0.500  0.500

***

> Among the records above, which one has the highest mass density?

Ac2ZnCoH6

***

> Among the records above, which one has the highest VASP energy?

TmMg7In4